BeNi3As | Alexandria via LeMat-Bulk | PBE | relaxed; ΔH_f (0 K) = 246 meV per atom; mass density = 7103 kg/m3; offset from the most stable computed form = 0 meV per atom
1.0
-1.2341 -2.1652 -3.0413
-2.3282 -2.0576 2.4096
-2.9184 2.5571 -0.6362
Ni As Be
3 1 1
Cartesian
-1.1641 -1.0288 1.2048 Ni
-0.6170 -1.0826 -1.5206 Ni
-1.4592 1.2785 -0.3181 Ni
-3.2403 -0.8328 -0.6340 As
0.0000 0.0000 0.0000 Be